Entry 1:
SiPtBr4 | GGA-PBE | relaxed

Values from the calculation:
- Raw formation energy: 1.296 eV per atom
- Volume: 25.73 A^3/atom
- DOS(E_F): 6.759 states/eV per cell
- Space group: F-43m, No. 216

Unit cell a=6.0216 b=6.0216 c=6.0216 alpha=60.00 beta=60.00 gamma=60.00
With the nearest neighbours (Å) after each atom.
Sites, in units of the cell vectors:
1 Si 0.0000 0.0000 0.0000  12 Br 3.53, 4 Pt 3.69
2 Pt 0.7500 0.7500 0.7500  12 Br 3.53, 4 Si 3.69
3 Br 0.8718 0.3761 0.3761  6 Br 2.99-3.04
4 Br 0.3761 0.3761 0.8718  6 Br 2.99-3.04
5 Br 0.3761 0.8718 0.3761  6 Br 2.99-3.04
6 Br 0.3761 0.3761 0.3761  6 Br 2.99-3.04

***

Entry 2:
Zr2PtPb | GGA-PBE | relaxed

Values from the calculation:
- E_form: -45.8 kJ/mol of atoms
- Volume: 20.80 A^3/atom
- DOS(E_F): 3.496 states/eV per cell
- Space group: Immm, No. 71

Unit cell a=5.2650 b=5.2650 c=5.2650 alpha=129.36 beta=130.96 gamma=73.16
With the nearest neighbours (Å) after each atom.
Sites, in units of the cell vectors:
1 Pb 0.2500 0.7500 0.5000  8 Zr 3.06-3.07, 4 Pt 3.14
2 Pt 0.7500 0.2500 0.5000  8 Zr 3.02-3.11, 4 Pb 3.14
3 Zr 0.0030 0.0030 0.0000  4 Pt 3.02-3.11, 4 Pb 3.06-3.07, 4 Zr 3.14
4 Zr 0.4970 0.4970 0.0000  4 Pt 3.02-3.11, 4 Pb 3.06-3.07, 4 Zr 3.14

***

Entry 3:
La3Th5In12 | GGA-PBE | relaxed

Values from the calculation:
- E_form: 35.6 kJ/mol of atoms
- Volume: 38.19 A^3/atom
- DOS(E_F): 101.172 states/eV per cell
- Space group: Ia-3d, No. 230

Unit cell a=15.8321 b=15.8321 c=15.8321 alpha=109.47 beta=109.47 gamma=109.47
With the nearest neighbours (Å) after each atom.
Sites, in units of the cell vectors:
1 La 0.7500 0.3750 0.1250  8 In 3.21-3.25
2 La 0.8750 0.7500 0.1250  8 In 3.21-3.25
3 La 0.3750 0.7500 0.6250  8 In 3.21-3.25
4 La 0.2500 0.1250 0.3750  8 In 3.21-3.25
5 La 0.8750 0.1250 0.2500  8 In 3.21-3.25
6 La 0.3750 0.6250 0.2500  8 In 3.21-3.25
7 La 0.6250 0.3750 0.7500  8 In 3.21-3.25
8 La 0.1250 0.8750 0.7500  8 In 3.21-3.25
9 La 0.7500 0.8750 0.6250  8 In 3.21-3.25
10 La 0.6250 0.2500 0.3750  8 In 3.21-3.25
11 La 0.1250 0.2500 0.8750  8 In 3.21-3.25
12 La 0.2500 0.6250 0.8750  8 In 3.21-3.25
13 Th 0.1250 0.3750 0.2500  4 In 3.19
14 Th 0.0000 0.5000 0.0000  6 In 3.12
15 Th 0.0000 0.0000 0.0000  6 In 3.12
16 Th 0.3750 0.2500 0.1250  4 In 3.19
17 Th 0.5000 0.0000 0.5000  6 In 3.12
18 Th 0.5000 0.5000 0.0000  6 In 3.12
19 Th 0.1250 0.7500 0.3750  4 In 3.19
20 Th 0.7500 0.1250 0.8750  4 In 3.19
21 Th 0.7500 0.6250 0.3750  4 In 3.19
22 Th 0.3750 0.1250 0.7500  4 In 3.19
23 Th 0.6250 0.8750 0.2500  4 In 3.19
24 Th 0.5000 0.5000 0.5000  6 In 3.12
25 Th 0.5000 0.0000 0.0000  6 In 3.12
26 Th 0.0000 0.0000 0.5000  6 In 3.12
27 Th 0.2500 0.3750 0.6250  4 In 3.19
28 Th 0.2500 0.8750 0.1250  4 In 3.19
29 Th 0.0000 0.5000 0.5000  6 In 3.12
30 Th 0.8750 0.2500 0.6250  4 In 3.19
31 Th 0.6250 0.7500 0.8750  4 In 3.19
32 Th 0.8750 0.6250 0.7500  4 In 3.19
33 In 0.7288 0.1500 0.0740  2 Th 3.12-3.19, 3 In 3.14-3.46, 2 La 3.21-3.25
34 In 0.3453 0.5740 0.4240  2 Th 3.12-3.19, 3 In 3.14-3.46, 2 La 3.21-3.25
35 In 0.9260 0.3500 0.2712  2 Th 3.12-3.19, 3 In 3.14-3.46, 2 La 3.21-3.25
36 In 0.5740 0.2288 0.1500  2 Th 3.12-3.19, 3 In 3.14-3.46, 2 La 3.21-3.25
37 In 0.5788 0.7288 0.6547  2 Th 3.12-3.19, 3 In 3.14-3.46, 2 La 3.21-3.25
38 In 0.9260 0.5760 0.1547  2 Th 3.12-3.19, 3 In 3.14-3.46, 2 La 3.21-3.25
39 In 0.3453 0.7712 0.4212  2 Th 3.12-3.19, 3 In 3.14-3.46, 2 La 3.21-3.25
40 In 0.0760 0.9212 0.1500  2 Th 3.12-3.19, 3 In 3.14-3.46, 2 La 3.21-3.25
41 In 0.5760 0.9260 0.6547  2 Th 3.12-3.19, 3 In 3.14-3.46, 2 La 3.21-3.25
42 In 0.7288 0.5788 0.1547  2 Th 3.12-3.19, 3 In 3.14-3.46, 2 La 3.21-3.25
43 In 0.7712 0.4260 0.3500  2 Th 3.12-3.19, 3 In 3.14-3.46, 2 La 3.21-3.25
44 In 0.8453 0.9240 0.0740  2 Th 3.12-3.19, 3 In 3.14-3.46, 2 La 3.21-3.25
45 In 0.1500 0.7288 0.5740  2 Th 3.12-3.19, 3 In 3.14-3.46, 2 La 3.21-3.25
46 In 0.3500 0.4240 0.0788  2 Th 3.12-3.19, 3 In 3.14-3.46, 2 La 3.21-3.25
47 In 0.0788 0.9240 0.3500  2 Th 3.12-3.19, 3 In 3.14-3.46, 2 La 3.21-3.25
48 In 0.4212 0.1500 0.5760  2 Th 3.12-3.19, 3 In 3.14-3.46, 2 La 3.21-3.25
49 In 0.0788 0.1547 0.2288  2 Th 3.12-3.19, 3 In 3.14-3.46, 2 La 3.21-3.25
50 In 0.4260 0.6547 0.0760  2 Th 3.12-3.19, 3 In 3.14-3.46, 2 La 3.21-3.25
51 In 0.8453 0.9212 0.2712  2 Th 3.12-3.19, 3 In 3.14-3.46, 2 La 3.21-3.25
52 In 0.1500 0.4212 0.0760  2 Th 3.12-3.19, 3 In 3.14-3.46, 2 La 3.21-3.25
53 In 0.3500 0.9260 0.7712  2 Th 3.12-3.19, 3 In 3.14-3.46, 2 La 3.21-3.25
54 In 0.5760 0.6500 0.4212  2 Th 3.12-3.19, 3 In 3.14-3.46, 2 La 3.21-3.25
55 In 0.9240 0.8453 0.5740  2 Th 3.12-3.19, 3 In 3.14-3.46, 2 La 3.21-3.25
56 In 0.7712 0.3453 0.9212  2 Th 3.12-3.19, 3 In 3.14-3.46, 2 La 3.21-3.25
57 In 0.4240 0.3500 0.5788  2 Th 3.12-3.19, 3 In 3.14-3.46, 2 La 3.21-3.25
58 In 0.0760 0.1547 0.4260  2 Th 3.12-3.19, 3 In 3.14-3.46, 2 La 3.21-3.25
59 In 0.2288 0.6547 0.0788  2 Th 3.12-3.19, 3 In 3.14-3.46, 2 La 3.21-3.25
60 In 0.1547 0.0788 0.7288  2 Th 3.12-3.19, 3 In 3.14-3.46, 2 La 3.21-3.25
61 In 0.6500 0.0740 0.2288  2 Th 3.12-3.19, 3 In 3.14-3.46, 2 La 3.21-3.25
62 In 0.8500 0.5788 0.9240  2 Th 3.12-3.19, 3 In 3.14-3.46, 2 La 3.21-3.25
63 In 0.5740 0.3453 0.9240  2 Th 3.12-3.19, 3 In 3.14-3.46, 2 La 3.21-3.25
64 In 0.5788 0.8500 0.4240  2 Th 3.12-3.19, 3 In 3.14-3.46, 2 La 3.21-3.25
65 In 0.9212 0.8453 0.7712  2 Th 3.12-3.19, 3 In 3.14-3.46, 2 La 3.21-3.25
66 In 0.9212 0.0760 0.6500  2 Th 3.12-3.19, 3 In 3.14-3.46, 2 La 3.21-3.25
67 In 0.8500 0.2712 0.4260  2 Th 3.12-3.19, 3 In 3.14-3.46, 2 La 3.21-3.25
68 In 0.1547 0.0760 0.9260  2 Th 3.12-3.19, 3 In 3.14-3.46, 2 La 3.21-3.25
69 In 0.6500 0.5760 0.9212  2 Th 3.12-3.19, 3 In 3.14-3.46, 2 La 3.21-3.25
70 In 0.4240 0.0740 0.3453  2 Th 3.12-3.19, 3 In 3.14-3.46, 2 La 3.21-3.25
71 In 0.2712 0.4212 0.8453  2 Th 3.12-3.19, 3 In 3.14-3.46, 2 La 3.21-3.25
72 In 0.2288 0.5740 0.6500  2 Th 3.12-3.19, 3 In 3.14-3.46, 2 La 3.21-3.25
73 In 0.9240 0.0788 0.8500  2 Th 3.12-3.19, 3 In 3.14-3.46, 2 La 3.21-3.25
74 In 0.6547 0.2288 0.5788  2 Th 3.12-3.19, 3 In 3.14-3.46, 2 La 3.21-3.25
75 In 0.4260 0.7712 0.8500  2 Th 3.12-3.19, 3 In 3.14-3.46, 2 La 3.21-3.25
76 In 0.0740 0.4240 0.8453  2 Th 3.12-3.19, 3 In 3.14-3.46, 2 La 3.21-3.25
77 In 0.4212 0.2712 0.3453  2 Th 3.12-3.19, 3 In 3.14-3.46, 2 La 3.21-3.25
78 In 0.0740 0.6500 0.7288  2 Th 3.12-3.19, 3 In 3.14-3.46, 2 La 3.21-3.25
79 In 0.6547 0.4260 0.5760  2 Th 3.12-3.19, 3 In 3.14-3.46, 2 La 3.21-3.25
80 In 0.2712 0.8500 0.9260  2 Th 3.12-3.19, 3 In 3.14-3.46, 2 La 3.21-3.25

***

Entry 4:
MnCoCuNi | GGA-PBE | relaxed

Values from the calculation:
- E_form: 10.3 kJ/mol of atoms
- Volume: 11.56 A^3/atom
- DOS(E_F): 6.769 states/eV per cell
- Space group: F-43m, No. 216

Unit cell a=4.0291 b=4.0291 c=4.0291 alpha=60.00 beta=60.00 gamma=60.00
With the nearest neighbours (Å) after each atom.
Sites, in units of the cell vectors:
1 Ni 0.5000 0.5000 0.5000  4 Mn 2.47, 4 Cu 2.47
2 Mn 0.7500 0.7500 0.7500  4 Co 2.47, 4 Ni 2.47
3 Co 0.0000 0.0000 0.0000  4 Cu 2.47, 4 Mn 2.47
4 Cu 0.2500 0.2500 0.2500  4 Ni 2.47, 4 Co 2.47

***

Entry 5:
TlAg4Cl | GGA-PBE | relaxed

Values from the calculation:
- Raw formation energy: -0.023 eV per atom
- Volume: 21.74 A^3/atom
- DOS(E_F): 0.530 states/eV per cell
- Space group: F-43m, No. 216

Unit cell a=5.6925 b=5.6925 c=5.6925 alpha=60.00 beta=60.00 gamma=60.00
With the nearest neighbours (Å) after each atom.
Sites, in units of the cell vectors:
1 Tl 0.0000 0.0000 0.0000  12 Ag 3.34, 4 Cl 3.49
2 Ag 0.8749 0.3750 0.3750  6 Ag 2.85
3 Ag 0.3750 0.3750 0.8749  6 Ag 2.85
4 Ag 0.3750 0.8749 0.3750  6 Ag 2.85
5 Ag 0.3750 0.3750 0.3750  6 Ag 2.85
6 Cl 0.7500 0.7500 0.7500  12 Ag 3.34, 4 Tl 3.49

***

Entry 6:
Ca2Zn2Cu5Ag | GGA-PBE | relaxed

Values from the calculation:
- E_form: -2.6 kJ/mol of atoms
- Volume: 17.10 A^3/atom
- DOS(E_F): 8.880 states/eV per cell
- Space group: P4/mbm, No. 127

Unit cell a=3.7124 b=9.5987 c=9.5987 alpha=90.00 beta=90.00 gamma=90.00
With the nearest neighbours (Å) after each atom.
Sites, in units of the cell vectors:
1 Ca 0.0000 0.6808 0.1808  3 Zn 2.75-2.92, 2 Cu 3.08
2 Ca 0.0000 0.3192 0.8192  3 Zn 2.75-2.92, 2 Cu 3.08
3 Ca 0.0000 0.1808 0.3192  3 Zn 2.75-2.92, 2 Cu 3.08
4 Ca 0.0000 0.8192 0.6808  3 Zn 2.75-2.92, 2 Cu 3.08
5 Zn 0.0000 0.1166 0.6166  6 Cu 2.44-2.61
6 Zn 0.0000 0.8834 0.3834  6 Cu 2.44-2.61
7 Zn 0.0000 0.6166 0.8834  6 Cu 2.44-2.61
8 Zn 0.0000 0.3834 0.1166  6 Cu 2.44-2.61
9 Cu 0.5000 0.2032 0.0545  2 Zn 2.61, 2 Ag 2.74, 3 Cu 2.86-2.90
10 Cu 0.5000 0.7968 0.9455  2 Zn 2.61, 2 Ag 2.74, 3 Cu 2.86-2.90
11 Cu 0.5000 0.0545 0.7968  2 Zn 2.61, 2 Ag 2.74, 3 Cu 2.86-2.90
12 Cu 0.5000 0.7032 0.4455  2 Zn 2.61, 2 Ag 2.74, 3 Cu 2.86-2.90
13 Cu 0.5000 0.9455 0.2032  2 Zn 2.61, 2 Ag 2.74, 3 Cu 2.86-2.90
14 Cu 0.5000 0.2968 0.5545  2 Zn 2.61, 2 Ag 2.74, 3 Cu 2.86-2.90
15 Cu 0.5000 0.5545 0.7032  2 Zn 2.61, 2 Ag 2.74, 3 Cu 2.86-2.90
16 Cu 0.5000 0.4455 0.2968  2 Zn 2.61, 2 Ag 2.74, 3 Cu 2.86-2.90
17 Cu 0.5000 0.5000 0.0000  4 Zn 2.44
18 Cu 0.5000 0.0000 0.5000  4 Zn 2.44
19 Ag 0.0000 0.0000 0.0000  8 Cu 2.74
20 Ag 0.0000 0.5000 0.5000  8 Cu 2.74

***

Entry 7:
Tl2CrCl | GGA-PBE | relaxed

Values from the calculation:
- Raw formation energy: 0.150 eV per atom
- E above lowest polymorph: 0.92 eV per formula unit
- Volume: 27.00 A^3/atom
- DOS(E_F): 1.319 states/eV per cell
- Space group: I-4m2, No. 119

Unit cell a=6.4555 b=6.4555 c=6.4555 alpha=140.49 beta=140.49 gamma=57.12
With the nearest neighbours (Å) after each atom.
Sites, in units of the cell vectors:
1 Cr 0.7500 0.2500 0.5000  4 Tl 3.09
2 Tl 0.0000 0.0000 0.0000  4 Cl 3.09
3 Tl 0.2500 0.7500 0.5000  4 Cr 3.09
4 Cl 0.5000 0.5000 0.0000  4 Tl 3.09

***

Entry 8:
Th4TlCo2 | GGA-PBE | relaxed

Values from the calculation:
- E_form: -16.9 kJ/mol of atoms
- Volume: 27.31 A^3/atom
- DOS(E_F): 8.105 states/eV per cell
- Space group: R-3m, No. 166

Unit cell a=4.0153 b=4.0153 c=13.8878 alpha=81.69 beta=81.69 gamma=60.00
With the nearest neighbours (Å) after each atom.
Sites, in units of the cell vectors:
1 Th 0.6996 0.6996 0.9012  3 Co 2.71
2 Th 0.8955 0.8955 0.3134  3 Co 2.78
3 Th 0.3004 0.3004 0.0988  3 Co 2.71
4 Th 0.1045 0.1045 0.6866  3 Co 2.78
5 Tl 0.5000 0.5000 0.5000  6 Th 3.45
6 Co 0.5997 0.5997 0.2009  6 Th 2.71-2.78
7 Co 0.4003 0.4003 0.7991  6 Th 2.71-2.78

***

Entry 9:
Pr3OsPd | GGA-PBE | relaxed

Values from the calculation:
- E_form: -28.9 kJ/mol of atoms
- Volume: 28.20 A^3/atom
- DOS(E_F): 14.470 states/eV per cell
- Space group: P2_1/c, No. 14

Unit cell a=7.3987 b=8.8466 c=9.0914 alpha=108.60 beta=90.00 gamma=90.00
With the nearest neighbours (Å) after each atom.
Sites, in units of the cell vectors:
1 Pr 0.1620 0.6089 0.7878  2 Os 2.92-3.17, 3 Pd 2.96-3.18
2 Pr 0.8380 0.3911 0.2122  2 Os 2.92-3.17, 3 Pd 2.96-3.18
3 Pr 0.6620 0.8911 0.2122  2 Os 2.92-3.17, 3 Pd 2.96-3.18
4 Pr 0.3380 0.1089 0.7878  2 Os 2.92-3.17, 3 Pd 2.96-3.18
5 Pr 0.6889 0.5029 0.8438  1 Os 2.92, 3 Pd 3.10-3.18
6 Pr 0.3111 0.4971 0.1562  1 Os 2.92, 3 Pd 3.10-3.18
7 Pr 0.1889 0.9971 0.1562  1 Os 2.92, 3 Pd 3.10-3.18
8 Pr 0.8111 0.0029 0.8438  1 Os 2.92, 3 Pd 3.10-3.18
9 Pr 0.9871 0.2083 0.5446  4 Os 2.93-3.20, 1 Pd 3.14
10 Pr 0.0129 0.7917 0.4554  4 Os 2.93-3.20, 1 Pd 3.14
11 Pr 0.4871 0.2917 0.4554  4 Os 2.93-3.20, 1 Pd 3.14
12 Pr 0.5129 0.7083 0.5446  4 Os 2.93-3.20, 1 Pd 3.14
13 Os 0.8345 0.5181 0.5508  1 Os 2.60
14 Os 0.1655 0.4819 0.4492  1 Os 2.60
15 Os 0.3345 0.9819 0.4492  1 Os 2.60
16 Os 0.6655 0.0181 0.5508  1 Os 2.60
17 Pd 0.0291 0.3269 0.9068  7 Pr 2.96-3.18, 1 Pd 3.02
18 Pd 0.9709 0.6731 0.0932  7 Pr 2.96-3.18, 1 Pd 3.02
19 Pd 0.5291 0.1731 0.0932  7 Pr 2.96-3.18, 1 Pd 3.02
20 Pd 0.4709 0.8269 0.9068  7 Pr 2.96-3.18, 1 Pd 3.02

***

| no. | calculated density (g cm⁻³) | spin magnetization (Bohr magnetons per cell) | raw total energy (eV per cell) |
| --- | --- | --- | --- |
| 1 | 5.84 | 0.00 | -10.38 |
| 2 | 11.67 | 0.00 | -28.75 |
| 3 | 6.42 | 0.00 | -309.44 |
| 4 | 8.48 | 4.59 | -25.73 |
| 5 | 8.55 | 0.00 | -15.75 |
| 6 | 6.18 | 0.00 | -60.31 |
| 7 | 7.63 | 4.96 | -15.60 |
| 8 | 10.86 | 0.00 | -47.48 |
| 9 | 8.47 | 0.00 | -129.03 |